# YZn2Ni (PBE-GGA, relaxed)
data_YZn2Ni
_chemical_formula_sum 'Y4 Zn8 Ni4'
_symmetry_space_group_name_H-M 'F -4 3 m'
_symmetry_Int_Tables_number 216
_symmetry_space_group_name_Hall 'F -4 2 3'
_cell_length_a 6.455
_cell_length_b 6.455
_cell_length_c 6.455
_cell_angle_alpha 90.00
_cell_angle_beta 90.00
_cell_angle_gamma 90.00
loop_
_atom_site_label
_atom_site_type_symbol
_atom_site_fract_x
_atom_site_fract_y
_atom_site_fract_z
Y1 Y 0.000 0.000 0.000
Zn1 Zn 0.000 0.000 0.500
Zn2 Zn 0.250 0.250 0.250
Ni1 Ni 0.250 0.250 0.750
# spin magnetization: 0.0 μB/f.u.
# ΔE_f: -0.253 eV per atom


# ReSn2Ir (PBE-GGA, relaxed)
data_ReSn2Ir
_chemical_formula_sum 'Re4 Sn8 Ir4'
_symmetry_space_group_name_H-M 'F -4 3 m'
_symmetry_Int_Tables_number 216
_symmetry_space_group_name_Hall 'F -4 2 3'
_cell_length_a 6.648
_cell_length_b 6.648
_cell_length_c 6.648
_cell_angle_alpha 90.00
_cell_angle_beta 90.00
_cell_angle_gamma 90.00
loop_
_atom_site_label
_atom_site_type_symbol
_atom_site_fract_x
_atom_site_fract_y
_atom_site_fract_z
Re1 Re 0.000 0.000 0.000
Sn1 Sn 0.000 0.000 0.500
Sn2 Sn 0.250 0.250 0.750
Ir1 Ir 0.250 0.250 0.250
# spin magnetization: 1.0 μB/f.u.
# E_tot: -105.6 eV per cell


# Ho3Re5N12 (PBE-GGA, relaxed)
data_Ho3Re5N12
_chemical_formula_sum 'Ho24 Re40 N96'
_symmetry_space_group_name_H-M 'I a -3 d'
_symmetry_Int_Tables_number 230
_symmetry_space_group_name_Hall '-I 4bd 2c 3'
_cell_length_a 12.646
_cell_length_b 12.646
_cell_length_c 12.646
_cell_angle_alpha 90.00
_cell_angle_beta 90.00
_cell_angle_gamma 90.00
loop_
_atom_site_label
_atom_site_type_symbol
_atom_site_fract_x
_atom_site_fract_y
_atom_site_fract_z
Ho1 Ho 0.000 0.250 0.125
Re1 Re 0.000 0.000 0.000
Re2 Re 0.000 0.250 0.375
N1 N 0.032 0.051 0.649
# spin magnetization: 0.0 μB/f.u.
# E_tot: -1484.1 eV per cell


# LiScFe2 (PBE-GGA, relaxed)
data_LiScFe2
_chemical_formula_sum 'Li4 Sc4 Fe8'
_symmetry_space_group_name_H-M 'F -4 3 m'
_symmetry_Int_Tables_number 216
_symmetry_space_group_name_Hall 'F -4 2 3'
_cell_length_a 6.008
_cell_length_b 6.008
_cell_length_c 6.008
_cell_angle_alpha 90.00
_cell_angle_beta 90.00
_cell_angle_gamma 90.00
loop_
_atom_site_label
_atom_site_type_symbol
_atom_site_fract_x
_atom_site_fract_y
_atom_site_fract_z
Li1 Li 0.000 0.000 0.000
Sc1 Sc 0.250 0.250 0.250
Fe1 Fe 0.000 0.000 0.500
Fe2 Fe 0.250 0.250 0.750
# spin magnetization: 3.4 μB/f.u.
# E_tot: -97.5 eV per cell


# ZnFeTcSn (PBE-GGA, relaxed)
data_ZnFeTcSn
_chemical_formula_sum 'Zn4 Fe4 Tc4 Sn4'
_symmetry_space_group_name_H-M 'F -4 3 m'
_symmetry_Int_Tables_number 216
_symmetry_space_group_name_Hall 'F -4 2 3'
_cell_length_a 6.226
_cell_length_b 6.226
_cell_length_c 6.226
_cell_angle_alpha 90.00
_cell_angle_beta 90.00
_cell_angle_gamma 90.00
loop_
_atom_site_label
_atom_site_type_symbol
_atom_site_fract_x
_atom_site_fract_y
_atom_site_fract_z
Zn1 Zn 0.000 0.000 0.000
Fe1 Fe 0.250 0.250 0.750
Tc1 Tc 0.250 0.250 0.250
Sn1 Sn 0.000 0.000 0.500
# spin magnetization: 2.3 μB/f.u.
# energy above the most stable polymorph in this dataset: 0 meV per atom


# SrCoW (PBE-GGA, relaxed)
data_SrCoW
_chemical_formula_sum 'Sr4 Co4 W4'
_symmetry_space_group_name_H-M 'F -4 3 m'
_symmetry_Int_Tables_number 216
_symmetry_space_group_name_Hall 'F -4 2 3'
_cell_length_a 6.691
_cell_length_b 6.691
_cell_length_c 6.691
_cell_angle_alpha 90.00
_cell_angle_beta 90.00
_cell_angle_gamma 90.00
loop_
_atom_site_label
_atom_site_type_symbol
_atom_site_fract_x
_atom_site_fract_y
_atom_site_fract_z
Sr1 Sr 0.000 0.000 0.000
Co1 Co 0.250 0.250 0.750
W1 W 0.250 0.250 0.250
# spin magnetization: 1.8 μB/f.u.
# energy above the most stable polymorph in this dataset: 1211 meV per atom


# LuUCu (PBE-GGA, relaxed)
data_LuUCu
_chemical_formula_sum 'Lu4 U4 Cu4'
_symmetry_space_group_name_H-M 'F -4 3 m'
_symmetry_Int_Tables_number 216
_symmetry_space_group_name_Hall 'F -4 2 3'
_cell_length_a 6.541
_cell_length_b 6.541
_cell_length_c 6.541
_cell_angle_alpha 90.00
_cell_angle_beta 90.00
_cell_angle_gamma 90.00
loop_
_atom_site_label
_atom_site_type_symbol
_atom_site_fract_x
_atom_site_fract_y
_atom_site_fract_z
Lu1 Lu 0.000 0.000 0.000
U1 U 0.000 0.000 0.500
Cu1 Cu 0.250 0.250 0.250
# spin magnetization: 3.0 μB/f.u.
# energy above the most stable polymorph in this dataset: 0 meV per atom
# ΔE_f: 0.636 eV per atom


# Er3Nb3Mo2N12 (PBE-GGA, relaxed)
data_Er3Nb3Mo2N12
_chemical_formula_sum 'Er24 Nb24 Mo16 N96'
_symmetry_space_group_name_H-M 'I a -3 d'
_symmetry_Int_Tables_number 230
_symmetry_space_group_name_Hall '-I 4bd 2c 3'
_cell_length_a 12.741
_cell_length_b 12.741
_cell_length_c 12.741
_cell_angle_alpha 90.00
_cell_angle_beta 90.00
_cell_angle_gamma 90.00
loop_
_atom_site_label
_atom_site_type_symbol
_atom_site_fract_x
_atom_site_fract_y
_atom_site_fract_z
Er1 Er 0.000 0.250 0.125
Nb1 Nb 0.000 0.250 0.375
Mo1 Mo 0.000 0.000 0.000
N1 N 0.029 0.056 0.647
# spin magnetization: 0.0 μB/f.u.
# E_tot: -1451.5 eV per cell


# TlW (PBE-GGA, relaxed)
data_TlW
_chemical_formula_sum 'Tl4 W4'
_symmetry_space_group_name_H-M 'F m -3 m'
_symmetry_Int_Tables_number 225
_symmetry_space_group_name_Hall '-F 4 2 3'
_cell_length_a 5.596
_cell_length_b 5.596
_cell_length_c 5.596
_cell_angle_alpha 90.00
_cell_angle_beta 90.00
_cell_angle_gamma 90.00
loop_
_atom_site_label
_atom_site_type_symbol
_atom_site_fract_x
_atom_site_fract_y
_atom_site_fract_z
Tl1 Tl 0.000 0.000 0.000
W1 W 0.000 0.000 0.500
# spin magnetization: 0.9 μB/f.u.
# energy above the most stable polymorph in this dataset: 907 meV per atom


# NdThAu (PBE-GGA, relaxed)
data_NdThAu
_chemical_formula_sum 'Nd4 Th4 Au4'
_symmetry_space_group_name_H-M 'F -4 3 m'
_symmetry_Int_Tables_number 216
_symmetry_space_group_name_Hall 'F -4 2 3'
_cell_length_a 7.039
_cell_length_b 7.039
_cell_length_c 7.039
_cell_angle_alpha 90.00
_cell_angle_beta 90.00
_cell_angle_gamma 90.00
loop_
_atom_site_label
_atom_site_type_symbol
_atom_site_fract_x
_atom_site_fract_y
_atom_site_fract_z
Nd1 Nd 0.000 0.000 0.000
Th1 Th 0.250 0.250 0.250
Au1 Au 0.250 0.250 0.750
# spin magnetization: 0.0 μB/f.u.
# ΔE_f: 0.308 eV per atom


# Ba2Hf2Pt3 (PBE-GGA, relaxed)
data_Ba2Hf2Pt3
_chemical_formula_sum 'Ba6 Hf6 Pt9'
_symmetry_space_group_name_H-M 'R 3 m'
_symmetry_Int_Tables_number 160
_symmetry_space_group_name_Hall 'R 3 -2"'
_cell_length_a 4.5537
_cell_length_b 4.5537
_cell_length_c 32.1265
_cell_angle_alpha 90.00
_cell_angle_beta 90.00
_cell_angle_gamma 120.00
loop_
_atom_site_label
_atom_site_type_symbol
_atom_site_fract_x
_atom_site_fract_y
_atom_site_fract_z
Ba1 Ba 0.0000 0.0000 0.0000
Ba2 Ba 0.0000 0.0000 0.4987
Hf1 Hf 0.0000 0.0000 0.2487
Hf2 Hf 0.0000 0.0000 0.7473
Pt1 Pt 0.0000 0.0000 0.4000
Pt2 Pt 0.0000 0.0000 0.6038
Pt3 Pt 0.0000 0.0000 0.8936
# spin magnetization: 0.6 μB/f.u.
# E_tot: -137.3 eV per cell


# NdGdSb2 (PBE-GGA, relaxed)
data_NdGdSb2
_chemical_formula_sum 'Nd1 Gd1 Sb2'
_symmetry_space_group_name_H-M 'P 4/m m m'
_symmetry_Int_Tables_number 123
_symmetry_space_group_name_Hall '-P 4 2'
_cell_length_a 4.471
_cell_length_b 4.471
_cell_length_c 6.322
_cell_angle_alpha 90.00
_cell_angle_beta 90.00
_cell_angle_gamma 90.00
loop_
_atom_site_label
_atom_site_type_symbol
_atom_site_fract_x
_atom_site_fract_y
_atom_site_fract_z
Nd1 Nd 0.000 0.000 0.000
Gd1 Gd 0.500 0.500 0.500
Sb1 Sb 0.000 0.000 0.500
Sb2 Sb 0.500 0.500 0.000
# spin magnetization: 0.0 μB/f.u.
# E_tot: -22.3 eV per cell


# Sm2CuSe3 (PBE-GGA, relaxed)
data_Sm2CuSe3
_chemical_formula_sum 'Sm8 Cu4 Se12'
_symmetry_space_group_name_H-M 'C m c m'
_symmetry_Int_Tables_number 63
_symmetry_space_group_name_Hall '-C 2c 2'
_cell_length_a 3.979
_cell_length_b 13.320
_cell_length_c 10.730
_cell_angle_alpha 90.00
_cell_angle_beta 90.00
_cell_angle_gamma 90.00
loop_
_atom_site_label
_atom_site_type_symbol
_atom_site_fract_x
_atom_site_fract_y
_atom_site_fract_z
Sm1 Sm 0.000 0.000 0.000
Sm2 Sm 0.000 0.234 0.250
Cu1 Cu 0.000 0.474 0.750
Se1 Se 0.000 0.093 0.750
Se2 Se 0.000 0.351 0.576
# spin magnetization: 0.0 μB/f.u.
# energy above the most stable polymorph in this dataset: 4 meV per atom


# TlSnHg (PBE-GGA, relaxed)
data_TlSnHg
_chemical_formula_sum 'Tl4 Sn4 Hg4'
_symmetry_space_group_name_H-M 'F -4 3 m'
_symmetry_Int_Tables_number 216
_symmetry_space_group_name_Hall 'F -4 2 3'
_cell_length_a 7.255
_cell_length_b 7.255
_cell_length_c 7.255
_cell_angle_alpha 90.00
_cell_angle_beta 90.00
_cell_angle_gamma 90.00
loop_
_atom_site_label
_atom_site_type_symbol
_atom_site_fract_x
_atom_site_fract_y
_atom_site_fract_z
Tl1 Tl 0.000 0.000 0.000
Sn1 Sn 0.250 0.250 0.750
Hg1 Hg 0.000 0.000 0.500
# energy above the most stable polymorph in this dataset: 0 meV per atom


# YSi2W (PBE-GGA, relaxed)
data_YSi2W
_chemical_formula_sum 'Y4 Si8 W4'
_symmetry_space_group_name_H-M 'F -4 3 m'
_symmetry_Int_Tables_number 216
_symmetry_space_group_name_Hall 'F -4 2 3'
_cell_length_a 6.516
_cell_length_b 6.516
_cell_length_c 6.516
_cell_angle_alpha 90.00
_cell_angle_beta 90.00
_cell_angle_gamma 90.00
loop_
_atom_site_label
_atom_site_type_symbol
_atom_site_fract_x
_atom_site_fract_y
_atom_site_fract_z
Y1 Y 0.000 0.000 0.000
Si1 Si 0.000 0.000 0.500
Si2 Si 0.250 0.250 0.250
W1 W 0.250 0.250 0.750
# spin magnetization: 0.0 μB/f.u.
# E_tot: -113.1 eV per cell


# LuFeBW (PBE-GGA, relaxed)
data_LuFeBW
_chemical_formula_sum 'Lu4 Fe4 B4 W4'
_symmetry_space_group_name_H-M 'F -4 3 m'
_symmetry_Int_Tables_number 216
_symmetry_space_group_name_Hall 'F -4 2 3'
_cell_length_a 6.074
_cell_length_b 6.074
_cell_length_c 6.074
_cell_angle_alpha 90.00
_cell_angle_beta 90.00
_cell_angle_gamma 90.00
loop_
_atom_site_label
_atom_site_type_symbol
_atom_site_fract_x
_atom_site_fract_y
_atom_site_fract_z
Lu1 Lu 0.000 0.000 0.000
Fe1 Fe 0.000 0.000 0.500
B1 B 0.250 0.250 0.250
W1 W 0.250 0.250 0.750
# spin magnetization: 0.1 μB/f.u.
# energy above the most stable polymorph in this dataset: 0 meV per atom


# Nd3Hg3PdAu2 (PBE-GGA, relaxed)
data_Nd3Hg3PdAu2
_chemical_formula_sum 'Nd3 Hg3 Pd1 Au2'
_symmetry_space_group_name_H-M 'P -6 2 m'
_symmetry_Int_Tables_number 189
_symmetry_space_group_name_Hall 'P -6 -2'
_cell_length_a 8.0113
_cell_length_b 8.0113
_cell_length_c 3.9175
_cell_angle_alpha 90.00
_cell_angle_beta 90.00
_cell_angle_gamma 120.00
loop_
_atom_site_label
_atom_site_type_symbol
_atom_site_fract_x
_atom_site_fract_y
_atom_site_fract_z
Nd1 Nd 0.0000 0.6046 0.0000
Hg1 Hg 0.0000 0.2612 0.5000
Pd1 Pd 0.0000 0.0000 0.0000
Au1 Au 0.3333 0.6667 0.5000
# spin magnetization: 0.0 μB/f.u.
# ΔE_f: -0.666 eV per atom


# NaAlCoSb (PBE-GGA, relaxed)
data_NaAlCoSb
_chemical_formula_sum 'Na4 Al4 Co4 Sb4'
_symmetry_space_group_name_H-M 'F -4 3 m'
_symmetry_Int_Tables_number 216
_symmetry_space_group_name_Hall 'F -4 2 3'
_cell_length_a 6.605
_cell_length_b 6.605
_cell_length_c 6.605
_cell_angle_alpha 90.00
_cell_angle_beta 90.00
_cell_angle_gamma 90.00
loop_
_atom_site_label
_atom_site_type_symbol
_atom_site_fract_x
_atom_site_fract_y
_atom_site_fract_z
Na1 Na 0.000 0.000 0.000
Al1 Al 0.000 0.000 0.500
Co1 Co 0.250 0.250 0.750
Sb1 Sb 0.250 0.250 0.250
# spin magnetization: 1.1 μB/f.u.
# energy above the most stable polymorph in this dataset: 246 meV per atom


no.,calculated volume (Å³/cell)
1,269
2,294
3,2022
4,217
5,241
6,300
7,280
8,2068
9,175
10,349
11,577
12,126
13,569
14,382
15,277
16,224
17,218
18,288